Entry 1:
The following is a GGA-PBE calculation of a relaxed structure of SiHg2Ru, from the Alexandria database.

Lattice parameters (Å, degrees): 3.098 3.098 7.750 90.00 90.00 90.00
Space group P4mm (No. 99)
Unique sites:
Si  0.000  0.000  0.000
Hg  0.000  0.000  0.602
Hg  0.500  0.500  0.284
Ru  0.500  0.500  0.870

Computed properties:
As for the total energy: -0.275 Ry/atom. Its crystal system is tetragonal.


Entry 2:
The following is a GGA-PBE calculation of a relaxed structure of LiInSn, from the Alexandria database.

Lattice parameters (Å, degrees): 3.278 13.293 6.337 90.00 90.00 90.00
Space group Cmcm (No. 63)
Unique sites:
Li  0.000  0.000  0.000
In  0.000  0.346  0.250
Sn  0.000  0.354  0.750

Computed properties:
As for the total energy: -0.226 Ry/atom. The value obtained for the energy of formation from the pure elements is -0.1868 eV per atom. Its crystal system is orthorhombic.